1.
## LaY2Tl (PBE)

Data for LaY2Tl after structural relaxation.

Output
energy above the most stable polymorph in this dataset	0	meV/atom
SG	No. 71
formation energy	-0.196	eV per atom
crystal system	orthorhombic
N(E_F)	1.238	states/eV/atom
final energy	-5.2516	eV per atom

Cell and atoms, written as extended XYZ:
```
4
Lattice="-6.548 1.696 0.453 -6.243 -0.818 -2.514 -3.178 -3.697 2.805" Properties=species:S:1:pos:R:3 pbc="T T T"
Y -12.496 0.738 -1.912
Y -8.279 -1.270 0.224
Tl -3.992 -0.705 0.186
La -11.976 -2.115 0.559
```

---

2.
## Nd4HoGa5 (PBE)

Data for Nd4HoGa5 after structural relaxation.

Output
SG	No. 123
formation energy	-0.563	eV per atom
crystal system	tetragonal
N(E_F)	0.419	states/eV/atom
final energy	-4.4412	eV per atom

Cell and atoms, written as extended XYZ:
```
10
Lattice="3.661 0.000 0.000 0.000 3.661 0.000 0.000 0.000 18.394" Properties=species:S:1:pos:R:3 pbc="T T T"
Nd 0.000 0.000 3.572
Nd 0.000 0.000 7.324
Nd 0.000 0.000 11.070
Nd 0.000 0.000 14.823
Ho 0.000 0.000 0.000
Ga 1.831 1.831 1.658
Ga 1.831 1.831 5.446
Ga 1.831 1.831 9.197
Ga 1.831 1.831 12.949
Ga 1.831 1.831 16.736
```

---

3.
## CaBr (PBE)

Data for CaBr after structural relaxation.

Output
SG	No. 176
crystal system	hexagonal
N(E_F)	0.571	states/eV/atom
E_form (uncorrected)	-1.3035	eV per atom
final energy	-3.1407	eV per atom

Cell and atoms, written as extended XYZ:
```
12
Lattice="-2.053 11.085 -4.264 -5.112 -3.527 10.330 3.214 1.390 2.065" Properties=species:S:1:pos:R:3 pbc="T T T"
Ca -1.407 7.196 -0.652
Ca -2.054 4.294 6.308
Ca -3.504 7.835 2.180
Ca -2.545 1.752 8.783
Ca -1.898 4.654 1.822
Ca -0.449 1.113 5.951
Br -2.895 9.823 -0.104
Br -3.791 4.578 8.821
Br -3.753 5.493 4.145
Br -1.057 -0.875 8.235
Br -0.161 4.370 -0.690
Br -0.199 3.456 3.986
```

---

4.
## Tb2HoSbN4 (PBE)

Data for Tb2HoSbN4 after structural relaxation.

Output
SG	No. 10
crystal system	monoclinic
N(E_F)	0.051	states/eV/atom
E_form (uncorrected)	-1.0525	eV per atom
final energy	-7.4603	eV per atom

Cell and atoms, written as extended XYZ:
```
8
Lattice="-0.515 3.093 1.532 0.635 -2.592 5.447 5.405 1.875 -1.967" Properties=species:S:1:pos:R:3 pbc="T T T"
Tb 2.445 2.484 -0.217
Tb 3.020 -0.359 1.740
Ho 0.060 0.250 3.489
Sb 0.000 0.000 0.000
N 1.316 1.354 1.684
N 4.209 1.022 3.328
N 4.200 0.734 -0.069
N 1.840 -1.451 3.548
```

---

5.
## Dy2MgRh (PBE)

Data for Dy2MgRh after structural relaxation.

Output
energy above the most stable polymorph in this dataset	136	meV/atom
SG	No. 160
formation energy	-0.357	eV per atom
crystal system	trigonal
N(E_F)	0.712	states/eV/atom
final energy	-4.8945	eV per atom

Cell and atoms, written as extended XYZ:
```
4
Lattice="3.920 0.000 0.000 1.960 3.395 0.000 1.960 1.132 8.365" Properties=species:S:1:pos:R:3 pbc="T T T"
Dy 1.960 1.132 6.814
Dy 1.960 1.132 1.552
Mg 3.920 2.263 4.164
Rh 3.920 2.263 0.018
```

---

6.
## Tc2Ni (PBE)

Data for Tc2Ni after structural relaxation.

Output
energy above the most stable polymorph in this dataset	530	meV/atom
SG	No. 74
formation energy	0.459	eV per atom
crystal system	orthorhombic
N(E_F)	1.325	states/eV/atom
final energy	-8.3791	eV per atom

Cell and atoms, written as extended XYZ:
```
12
Lattice="2.566 0.000 0.000 0.000 3.957 0.000 0.000 0.000 17.525" Properties=species:S:1:pos:R:3 pbc="T T T"
Ni 0.000 0.989 10.904
Ni 0.000 2.968 6.621
Ni 1.283 2.968 2.142
Ni 1.283 0.989 15.384
Tc 0.000 0.989 0.698
Tc 0.000 2.968 16.828
Tc 1.283 2.968 9.460
Tc 1.283 0.989 8.065
Tc 0.000 0.989 3.243
Tc 0.000 2.968 14.282
Tc 1.283 2.968 12.006
Tc 1.283 0.989 5.519
```

---

It is found that the magnetization values, taken in the order of the records, are 0.00 0.00 0.00 0.00 0.00 0.00 μB per formula unit.